# 1
A plane-wave DFT calculation with GGA-PBE was carried out for an optimized crystal structure of Y5ThC4.

a b c (Å): 3.6595 7.4130 8.2067
angles (deg): 102.54 102.88 90.00
With the nearest neighbours (Å) after each atom.
Fractional coordinates of all 10 atoms:
Y 0.1603 0.3086 0.3205  3 C 2.46-2.48
Y 0.1683 0.8561 0.3366  4 C 2.51-2.68
Y 0.8317 0.1439 0.6634  4 C 2.51-2.68
Y 0.5000 0.5000 0.0000  4 C 2.56
Y 0.8397 0.6914 0.6795  3 C 2.46-2.48
Th 0.5000 0.0000 0.0000  6 C 2.64-2.65
C 0.6693 0.0883 0.3385  5 Y 2.48-2.54, 1 Th 2.64
C 0.0029 0.2592 0.0058  4 Y 2.46-2.68, 2 Th 2.65
C 0.3307 0.9117 0.6615  5 Y 2.48-2.54, 1 Th 2.64
C 0.9971 0.7408 0.9942  4 Y 2.46-2.68, 2 Th 2.65

Computed properties:
ρ in g/cm³: 5.687
VASP energy in eV/atom: -7.912
Total moment in μB/cell: 1.29
Formation energy from the elements in eV/atom: -0.249
V in Å³ per atom: 21.2

# 2
A plane-wave DFT calculation with GGA-PBE was carried out for an optimized crystal structure of Y3ThC3.

a b c (Å): 9.0499 9.0499 9.0499
angles (deg): 109.47 109.47 109.47
With the nearest neighbours (Å) after each atom.
Fractional coordinates of all 28 atoms:
Y 0.2609 0.0109 0.0218  4 C 2.50-2.58
Y 0.7500 0.7391 0.7609  4 C 2.50-2.58
Y 0.5218 0.7609 0.0109  4 C 2.50-2.58
Y 0.9891 0.2500 0.0109  4 C 2.50-2.58
Y 0.2391 0.7609 0.2500  4 C 2.50-2.58
Y 0.5109 0.4891 0.2500  4 C 2.50-2.58
Y 0.2609 0.2500 0.7391  4 C 2.50-2.58
Y 0.2391 0.4782 0.4891  4 C 2.50-2.58
Y 0.7500 0.0109 0.4891  4 C 2.50-2.58
Y 0.9782 0.4891 0.7391  4 C 2.50-2.58
Y 0.9891 0.7391 0.4782  4 C 2.50-2.58
Y 0.5109 0.0218 0.7609  4 C 2.50-2.58
Th 0.7500 0.5000 0.0000  6 C 2.65
Th 0.5000 0.2500 0.5000  6 C 2.65
Th 0.7500 0.2500 0.2500  6 C 2.65
Th 0.0000 0.0000 0.2500  6 C 2.65
C 0.0069 0.5034 0.2534  4 Y 2.50-2.58, 2 Th 2.65
C 0.4966 0.9931 0.2466  4 Y 2.50-2.58, 2 Th 2.65
C 0.2500 0.9966 0.5034  4 Y 2.50-2.58, 2 Th 2.65
C 0.0034 0.7500 0.9966  4 Y 2.50-2.58, 2 Th 2.65
C 0.0034 0.2534 0.5069  4 Y 2.50-2.58, 2 Th 2.65
C 0.7466 0.9966 0.9931  4 Y 2.50-2.58, 2 Th 2.65
C 0.7534 0.5069 0.5034  4 Y 2.50-2.58, 2 Th 2.65
C 0.7466 0.7500 0.2534  4 Y 2.50-2.58, 2 Th 2.65
C 0.4931 0.2466 0.9966  4 Y 2.50-2.58, 2 Th 2.65
C 0.2500 0.2534 0.2466  4 Y 2.50-2.58, 2 Th 2.65
C 0.7534 0.2466 0.7500  4 Y 2.50-2.58, 2 Th 2.65
C 0.4966 0.5034 0.7500  4 Y 2.50-2.58, 2 Th 2.65

Computed properties:
ρ in g/cm³: 6.226
VASP energy in eV/atom: -8.026
Total moment in μB/cell: 4.02
Formation energy from the elements in eV/atom: -0.243
V in Å³ per atom: 20.4

# 3
A plane-wave DFT calculation with GGA-PBE was carried out for an optimized crystal structure of Y3Th2C4.

a b c (Å): 3.6405 6.3450 8.3815
angles (deg): 74.49 77.46 73.33
With the nearest neighbours (Å) after each atom.
Fractional coordinates of all 9 atoms:
Y 0.0000 0.0000 0.0000  6 C 2.60-2.71
Y 0.2091 0.4035 0.1782  5 C 2.52-2.71
Y 0.7909 0.5965 0.8218  5 C 2.52-2.71
Th 0.6005 0.1804 0.6186  4 C 2.42-2.69
Th 0.3995 0.8196 0.3814  4 C 2.42-2.69
C 0.8014 0.0851 0.3121  3 Th 2.42-2.69
C 0.1986 0.9149 0.6879  3 Th 2.42-2.69
C 0.4010 0.3034 0.8946  5 Y 2.52-2.60, 1 Th 2.53
C 0.5990 0.6966 0.1054  5 Y 2.52-2.60, 1 Th 2.53

Computed properties:
ρ in g/cm³: 7.322
VASP energy in eV/atom: -8.167
Total moment in μB/cell: 0.00
Formation energy from the elements in eV/atom: -0.264
V in Å³ per atom: 19.6

# 4
A plane-wave DFT calculation with GGA-PBE was carried out for an optimized crystal structure of Y3Th2C3.

a b c (Å): 5.1614 6.4008 11.9214
angles (deg): 89.35 90.00 113.78
With the nearest neighbours (Å) after each atom.
Fractional coordinates of all 16 atoms:
Y 0.6606 0.3211 0.5739  4 C 2.55-2.62
Y 0.7361 0.4722 0.2498  4 C 2.59-2.62
Y 0.9474 0.8947 0.8800  3 C 2.43-2.60
Y 0.2575 0.5150 0.7467  4 C 2.49-2.63
Y 0.0513 0.1027 0.1206  3 C 2.42-2.63
Y 0.0535 0.1070 0.3796  3 C 2.47-2.59
Th 0.6609 0.3217 0.9293  4 C 2.53-2.59
Th 0.9446 0.8892 0.6201  3 C 2.46-2.61
Th 0.3344 0.6688 0.4292  4 C 2.54-2.59
Th 0.3377 0.6753 0.0710  4 C 2.52-2.60
C 0.7798 0.5595 0.7511  2 Th 2.47-2.53, 4 Y 2.51-2.59
C 0.8377 0.6755 0.0540  3 Y 2.43-2.63, 3 Th 2.57-2.59
C 0.8411 0.6822 0.4421  3 Th 2.46-2.59, 3 Y 2.59-2.62
C 0.2198 0.4397 0.2496  4 Y 2.47-2.59, 2 Th 2.52-2.54
C 0.1579 0.3158 0.9454  3 Y 2.42-2.63, 3 Th 2.59-2.60
C 0.1598 0.3196 0.5620  4 Y 2.49-2.58, 2 Th 2.57-2.61

Computed properties:
ρ in g/cm³: 7.066
VASP energy in eV/atom: -7.875
Total moment in μB/cell: 0.00
Formation energy from the elements in eV/atom: -0.137
V in Å³ per atom: 22.5

Which value of formation energy from the elements does entry 2 give?
-0.243 eV/atom

Among the records above, which one has the lowest V?
Y3Th2C4

Copy entry 4 word for word.
A plane-wave DFT calculation with GGA-PBE was carried out for an optimized crystal structure of Y3Th2C3.

a b c (Å): 5.1614 6.4008 11.9214
angles (deg): 89.35 90.00 113.78
With the nearest neighbours (Å) after each atom.
Fractional coordinates of all 16 atoms:
Y 0.6606 0.3211 0.5739  4 C 2.55-2.62
Y 0.7361 0.4722 0.2498  4 C 2.59-2.62
Y 0.9474 0.8947 0.8800  3 C 2.43-2.60
Y 0.2575 0.5150 0.7467  4 C 2.49-2.63
Y 0.0513 0.1027 0.1206  3 C 2.42-2.63
Y 0.0535 0.1070 0.3796  3 C 2.47-2.59
Th 0.6609 0.3217 0.9293  4 C 2.53-2.59
Th 0.9446 0.8892 0.6201  3 C 2.46-2.61
Th 0.3344 0.6688 0.4292  4 C 2.54-2.59
Th 0.3377 0.6753 0.0710  4 C 2.52-2.60
C 0.7798 0.5595 0.7511  2 Th 2.47-2.53, 4 Y 2.51-2.59
C 0.8377 0.6755 0.0540  3 Y 2.43-2.63, 3 Th 2.57-2.59
C 0.8411 0.6822 0.4421  3 Th 2.46-2.59, 3 Y 2.59-2.62
C 0.2198 0.4397 0.2496  4 Y 2.47-2.59, 2 Th 2.52-2.54
C 0.1579 0.3158 0.9454  3 Y 2.42-2.63, 3 Th 2.59-2.60
C 0.1598 0.3196 0.5620  4 Y 2.49-2.58, 2 Th 2.57-2.61

Computed properties:
ρ in g/cm³: 7.066
VASP energy in eV/atom: -7.875
Total moment in μB/cell: 0.00
Formation energy from the elements in eV/atom: -0.137
V in Å³ per atom: 22.5